A relaxed Hf3NbRu crystal, computed with PBE.

Lattice parameters (Å, degrees): 4.931 4.931 4.931 90.00 90.00 90.00
Space group Pm-3m (No. 221)
Asymmetric unit:
Hf 0.000 0.000 0.500
Nb 0.000 0.000 0.000
Ru 0.500 0.500 0.500

Properties
- Polymorph energy (0 for the lowest one): 3.81 eV per formula unit
- Formation energy: 1.33 eV/atom

=====

A relaxed Er2Al3Ni4 crystal, computed with PBE.

Lattice parameters (Å, degrees): 5.421 15.162 6.881 90.00 90.00 90.00
Space group Cmce (No. 64)
Asymmetric unit:
Er 0.000 0.104 0.087
Al 0.000 0.000 0.500
Al 0.250 0.234 0.750
Ni 0.000 0.170 0.486
Ni 0.250 0.071 0.750

Properties
- Formation energy: -0.59 eV/atom

=====

A relaxed Tm12Rh3C5 crystal, computed with PBE.

Lattice parameters (Å, degrees): 15.162 15.162 15.162 90.00 90.00 90.00
Space group Ia-3d (No. 230)
Asymmetric unit:
Tm 0.028 0.055 0.651
Rh 0.000 0.250 0.125
C 0.000 0.000 0.000
C 0.000 0.250 0.375

Properties
- Formation energy: -0.34 eV/atom

=====

A relaxed Mg7Tl2CdBi2 crystal, computed with PBE.

Lattice parameters (Å, degrees): 6.867 6.861 13.330 90.00 90.76 90.00
Space group C2/m (No. 12)
Asymmetric unit:
Mg 0.000 0.000 0.000
Mg 0.243 0.500 0.500
Mg 0.250 0.248 0.854
Tl 0.001 0.000 0.689
Cd 0.000 0.500 0.000
Bi 0.003 0.500 0.698

Properties
- Formation energy: -0.02 eV/atom

=====

A relaxed Sr2Cd7 crystal, computed with PBE.

Lattice parameters (Å, degrees): 6.1862 6.1862 43.7315 90.00 90.00 120.00
Space group R-3m (No. 166, hexagonal axes)
Asymmetric unit:
Sr 0.0000 0.0000 0.0526
Sr 0.0000 0.0000 0.1505
Cd 0.0000 0.0000 0.2786
Cd 0.0000 0.0000 0.3892
Cd 0.0000 0.0000 0.5000
Cd 0.0000 0.5000 0.0000
Cd 0.0060 0.5030 0.8890

Properties
- Formation energy: -0.25 eV/atom

=====

A relaxed TiTe2F crystal, computed with PBE.

Lattice parameters (Å, degrees): 6.017 6.017 12.747 90.00 90.00 90.00
Space group I-42d (No. 122)
Asymmetric unit:
Ti 0.000 0.000 0.000
Te 0.240 0.250 0.125
F 0.000 0.000 0.500

Properties
- Raw formation energy: -0.5534 eV/atom
- Polymorph energy (0 for the lowest one): 1.39 eV per formula unit

=====

A relaxed Tb2BeGa crystal, computed with PBE.

Lattice parameters (Å, degrees): 3.4222 3.4222 30.9215 90.00 90.00 120.00
Space group R-3m (No. 166, hexagonal axes)
Asymmetric unit:
Tb 0.0000 0.0000 0.0947
Be 0.0000 0.0000 0.0000
Ga 0.0000 0.0000 0.5000

Properties
- Polymorph energy (0 for the lowest one): 2.92 eV per formula unit
- Formation energy: 0.49 eV/atom

=====

A relaxed TaAlCd crystal, computed with PBE.

Lattice parameters (Å, degrees): 2.867 3.675 10.498 90.00 90.00 90.00
Space group Imm2 (No. 44)
Asymmetric unit:
Ta 0.000 0.000 0.000
Al 0.000 0.000 0.643
Cd 0.000 0.000 0.312

Properties
- Polymorph energy (0 for the lowest one): 0.43 eV per formula unit
- Formation energy: 0.22 eV/atom

=====

A relaxed Pm2Ho3Tm5 crystal, computed with PBE.

Lattice parameters (Å, degrees): 10.528 15.701 9.359 90.00 124.02 90.00
Space group C2/c (No. 15)
Asymmetric unit:
Pm 0.143 0.128 0.047
Ho 0.000 0.021 0.250
Ho 0.156 0.377 0.551
Tm 0.000 0.231 0.250
Tm 0.000 0.274 0.750
Tm 0.000 0.474 0.750
Tm 0.235 0.379 0.225

Properties
- Polymorph energy (0 for the lowest one): 0.00 eV per formula unit
- Formation energy: 0.20 eV/atom

=====

A relaxed BaInSn2 crystal, computed with PBE.

Lattice parameters (Å, degrees): 5.031 5.031 4.927 90.00 90.00 90.00
Space group P4/mmm (No. 123)
Asymmetric unit:
Ba 0.000 0.000 0.000
In 0.500 0.500 0.000
Sn 0.000 0.500 0.500

Properties
- Formation energy: -0.34 eV/atom

=====

A relaxed Tc2AsOs crystal, computed with PBE.

Lattice parameters (Å, degrees): 2.8274 2.8274 25.4907 90.00 90.00 120.00
Space group R3m (No. 160, hexagonal axes)
Asymmetric unit:
Tc 0.0000 0.0000 0.0000
Tc 0.0000 0.0000 0.2482
As 0.0000 0.0000 0.7477
Os 0.0000 0.0000 0.4972

Properties
- Formation energy: 0.17 eV/atom

=====

A relaxed Na2Tb3HoSe6 crystal, computed with PBE.

Lattice parameters (Å, degrees): 7.124 12.324 7.180 90.00 109.23 90.00
Space group C2/m (No. 12)
Asymmetric unit:
Na 0.000 0.166 0.000
Tb 0.000 0.000 0.500
Tb 0.000 0.330 0.500
Ho 0.000 0.500 0.000
Se 0.242 0.500 0.745
Se 0.248 0.336 0.251

Properties
- Raw formation energy: -1.7208 eV/atom

=====

VASP energy values (in eV for the cell shown) by entry order: -42.5; -195.2; -1029.4; -49.7; -72.1; -73.1; -42.2; -31.7; -174.4; -14.0; -107.8; -125.3.